# Li2MgScAl2Pt2

A relaxed structure of Li2MgScAl2Pt2 (PBE, OQMD).

Geometry as CIF:
```
data_Li2MgScAl2Pt2
_chemical_formula_sum 'Li2 Mg1 Sc1 Al2 Pt2'
_space_group_name_H-M_alt 'P 1'
_space_group_IT_number 1
_space_group_name_Hall 'P 1'
_cell_length_a 4.4146
_cell_length_b 4.4146
_cell_length_c 6.2664
_cell_angle_alpha 90.00
_cell_angle_beta 90.00
_cell_angle_gamma 90.00
loop_
_atom_site_label
_atom_site_type_symbol
_atom_site_fract_x
_atom_site_fract_y
_atom_site_fract_z
Mg1 Mg 0.0000 0.0000 0.5000
Pt1 Pt 0.0000 0.0000 0.0000
Pt2 Pt 0.5000 0.5000 0.5000
Li1 Li 0.0000 0.5000 0.2591
Li2 Li 0.5000 0.0000 0.7409
Al1 Al 0.5000 0.0000 0.2574
Al2 Al 0.0000 0.5000 0.7426
Sc1 Sc 0.5000 0.5000 0.0000
```

Output
Crystal system = tetragonal
DFT total energy = -0.3355 Ry per atom
SG = P-4m2

---

# Li2Mg2AlSiPt2

A relaxed structure of Li2Mg2AlSiPt2 (PBE, OQMD).

Geometry as CIF:
```
data_Li2Mg2AlSiPt2
_chemical_formula_sum 'Li2 Mg2 Al1 Si1 Pt2'
_space_group_name_H-M_alt 'P 1'
_space_group_IT_number 1
_space_group_name_Hall 'P 1'
_cell_length_a 4.3607
_cell_length_b 4.3607
_cell_length_c 6.1741
_cell_angle_alpha 90.00
_cell_angle_beta 90.00
_cell_angle_gamma 90.00
loop_
_atom_site_label
_atom_site_type_symbol
_atom_site_fract_x
_atom_site_fract_y
_atom_site_fract_z
Mg1 Mg 0.5000 0.5000 0.0000
Mg2 Mg 0.0000 0.0000 0.5000
Li1 Li 0.0000 0.5000 0.7418
Li2 Li 0.5000 0.0000 0.2582
Al1 Al 0.0000 0.0000 0.0000
Pt1 Pt 0.0000 0.5000 0.2565
Pt2 Pt 0.5000 0.0000 0.7435
Si1 Si 0.5000 0.5000 0.5000
```

Output
Crystal system = tetragonal
DFT total energy = -0.3099 Ry per atom
SG = P-4m2

---

# Li2Mg2AlTlPt2

A relaxed structure of Li2Mg2AlTlPt2 (PBE, OQMD).

Geometry as CIF:
```
data_Li2Mg2AlTlPt2
_chemical_formula_sum 'Li2 Mg2 Al1 Tl1 Pt2'
_space_group_name_H-M_alt 'P 1'
_space_group_IT_number 1
_space_group_name_Hall 'P 1'
_cell_length_a 4.4947
_cell_length_b 4.4947
_cell_length_c 6.5003
_cell_angle_alpha 90.00
_cell_angle_beta 90.00
_cell_angle_gamma 90.00
loop_
_atom_site_label
_atom_site_type_symbol
_atom_site_fract_x
_atom_site_fract_y
_atom_site_fract_z
Al1 Al 0.0000 0.0000 0.0000
Pt1 Pt 0.5000 0.0000 0.7823
Pt2 Pt 0.0000 0.5000 0.2177
Li1 Li 0.0000 0.5000 0.7637
Li2 Li 0.5000 0.0000 0.2363
Tl1 Tl 0.5000 0.5000 0.5000
Mg1 Mg 0.0000 0.0000 0.5000
Mg2 Mg 0.5000 0.5000 0.0000
```

Output
Crystal system = tetragonal
DFT total energy = -0.2759 Ry per atom
SG = P-4m2

---

# Li2MgAlZn2Pt2

A relaxed structure of Li2MgAlZn2Pt2 (PBE, OQMD).

Geometry as CIF:
```
data_Li2MgAlZn2Pt2
_chemical_formula_sum 'Li2 Mg1 Al1 Zn2 Pt2'
_space_group_name_H-M_alt 'P 1'
_space_group_IT_number 1
_space_group_name_Hall 'P 1'
_cell_length_a 4.3502
_cell_length_b 4.3502
_cell_length_c 6.1739
_cell_angle_alpha 90.00
_cell_angle_beta 90.00
_cell_angle_gamma 90.00
loop_
_atom_site_label
_atom_site_type_symbol
_atom_site_fract_x
_atom_site_fract_y
_atom_site_fract_z
Zn1 Zn 0.0000 0.0000 0.5000
Zn2 Zn 0.5000 0.5000 0.0000
Li1 Li 0.5000 0.0000 0.7568
Li2 Li 0.0000 0.5000 0.2432
Mg1 Mg 0.5000 0.5000 0.5000
Al1 Al 0.0000 0.0000 0.0000
Pt1 Pt 0.0000 0.5000 0.7677
Pt2 Pt 0.5000 0.0000 0.2323
```

Output
Crystal system = tetragonal
DFT total energy = -0.2667 Ry per atom
SG = P-4m2